Here is Pm5TlNi after structural relaxation from the Alexandria database. Energies are from GGA-PBE.

Unit cell a=6.5141 b=6.5141 c=11.6281 alpha=74.23 beta=74.23 gamma=65.22
Closest atoms and distances in Å follow each position.
Element x y z (fractional)
Pm (0.4505, 0.7938, 0.9514)  1 Ni 2.63
Pm (0.7938, 0.4505, 0.4514)  1 Ni 2.63
Pm (0.5495, 0.2062, 0.0486)  1 Ni 2.63
Pm (0.2062, 0.5495, 0.5486)  1 Ni 2.63
Pm (0.9954, 0.0046, 0.2500)  2 Ni 2.91
Pm (0.0326, 0.4084, 0.8622)  1 Ni 2.77
Pm (0.9674, 0.5916, 0.1378)  1 Ni 2.77
Pm (0.0046, 0.9954, 0.7500)  2 Ni 2.91
Pm (0.5916, 0.9674, 0.6378)  1 Ni 2.77
Pm (0.4084, 0.0326, 0.3622)  1 Ni 2.77
Tl (0.4663, 0.5337, 0.2500)  9 Pm 3.31-3.66
Tl (0.5337, 0.4663, 0.7500)  9 Pm 3.31-3.66
Ni (0.0000, 0.0000, 0.0000)  6 Pm 2.63-2.91
Ni (0.0000, 0.0000, 0.5000)  6 Pm 2.63-2.91

Values from the calculation:
M_tot = 0.000 μB per atom
Symmetry = C2/c (15)
Mass density = 7.7 g/cm³
Energy of formation from the pure elements = -0.09 eV per atom
Calculated total energy = -4.65 eV/atom